Entry 1:
# LaSmNi4

Crystalline LaSmNi4 at its relaxed geometry (GGA-PBE, OQMD via LeMat-Bulk).

```
LaSmNi4
1.0
5.472 0.000 0.000
-2.736 4.739 0.000
0.000 0.000 8.154
La Ni Sm
2 8 2
Direct
0.000 0.000 0.000
0.000 0.000 0.500
0.667 0.333 0.000
0.333 0.667 0.000
0.500 0.000 0.220
0.000 0.500 0.220
0.500 0.500 0.220
0.500 0.000 0.780
0.000 0.500 0.780
0.500 0.500 0.780
0.667 0.333 0.500
0.333 0.667 0.500
```

Its formation enthalpy at 0 K is 0.0074 eV/atom. Its space-group type is P6/mmm, No. 191.


Entry 2:
# LaSmNi4

Crystalline LaSmNi4 at its relaxed geometry (GGA-PBE, OQMD via LeMat-Bulk).

```
LaSmNi4
1.0
0.000 3.646 3.646
3.646 0.000 3.646
3.646 3.646 0.000
La Ni Sm
1 4 1
Direct
0.000 0.000 0.000
0.376 0.376 0.376
0.872 0.376 0.376
0.376 0.872 0.376
0.376 0.376 0.872
0.750 0.750 0.750
```

Its formation enthalpy at 0 K is -0.3435 eV/atom. Its space-group type is F-43m, No. 216.


Entry 3:
# LaSmNi2Sn

Crystalline LaSmNi2Sn at its relaxed geometry (GGA-PBE, OQMD via LeMat-Bulk).

```
LaSmNi2Sn
1.0
3.796 0.000 0.000
0.000 2.050 7.087
0.000 -2.050 7.087
La Ni Sm Sn
1 2 1 1
Direct
0.000 0.363 0.363
0.500 0.198 0.198
0.500 0.801 0.801
0.000 0.635 0.635
0.500 0.004 0.004
```

The calculation puts the final energy at -5.510 eV/atom. Its space-group type is Amm2, No. 38.